{"formula": "Er2ZrPb", "functional": "PBE", "state": "optimized geometry", "cell": [[3.495, 0.000, 0.000], [1.748, 3.027, 0.000], [1.748, 1.009, 10.499]], "species": ["Pb", "Zr", "Er", "Er"], "fractional_positions": [[0.667, 0.667, 0.000], [0.500, 0.500, 0.501], [0.249, 0.249, 0.253], [0.085, 0.085, 0.746]], "formation_energy_ev_per_atom": -0.120, "volume_a3_per_cell": 111.08, "relative_energy_ev_per_fu": 0.20}